## BC (PBE)

Data for a relaxed BC crystal.

For the theoretical density, the calculation gives 2753 kg/m3. Its crystal system is triclinic. The density of states at the Fermi level is 0.15 states/eV per atom. Its size of the total moment is 0.00 μB/f.u. The value obtained for the calculated formation energy is 0.35 eV per atom. The calculation puts the energy above the lowest structure with this stoichiometry at 0.202 eV/atom.

a b c (Å): 5.8224 5.9914 3.9350
angles (deg): 88.94 90.17 143.00
Closest atoms and distances in Å follow each position.
Fractional coordinates of all 12 atoms:
B  0.1698  0.2935  0.2295  1 C 1.55, 1 B 1.69
B  0.4882  0.4965  0.5422  2 C 1.59-1.62, 2 B 1.69-1.75
C  0.0003  0.9966  0.9759  2 C 1.52, 2 B 1.55-1.59
B  0.3633  0.7272  0.9675  3 C 1.58-1.61
B  0.2265  0.8605  0.5478  3 C 1.59-1.63
C  0.3309  0.1626  0.7630  2 C 1.52-1.60, 2 B 1.62-1.63
C  0.6783  0.8337  0.7584  1 C 1.52, 3 B 1.59-1.69
C  0.9878  0.4919  0.7668  1 C 1.53, 3 B 1.58-1.61
B  0.8303  0.1760  0.5266  3 C 1.61-1.69
C  0.5095  0.0153  0.2431  1 C 1.56, 3 B 1.59-1.68
B  0.7539  0.6243  0.1822  2 C 1.59-1.61, 1 B 1.75
C  0.6614  0.3219  0.9968  3 C 1.53-1.60, 1 B 1.61



## B7C5 (PBE)

Data for a relaxed B7C5 crystal.

For the theoretical density, the calculation gives 2867 kg/m3. Its crystal system is triclinic. The density of states at the Fermi level is 0.17 states/eV per atom. Its size of the total moment is 0.00 μB/f.u. The value obtained for the calculated formation energy is 0.36 eV per atom. The calculation puts the energy above the lowest structure with this stoichiometry at 0.196 eV/atom.

a b c (Å): 4.5909 4.7149 5.4563
angles (deg): 98.51 101.07 42.72
Closest atoms and distances in Å follow each position.
Fractional coordinates of all 12 atoms:
B  0.9707  0.0325  0.9559  3 C 1.57-1.59
C  0.2893  0.7773  0.7481  1 C 1.53, 3 B 1.59-1.62
C  0.3108  0.2917  0.1617  2 C 1.51-1.54, 2 B 1.61-1.63
B  0.9699  0.0653  0.5086  1 C 1.60, 1 B 1.79
C  0.6803  0.6944  0.8493  3 C 1.52-1.54, 1 B 1.65
B  0.4340  0.3433  0.6978  2 C 1.62-1.72
C  0.6073  0.0566  0.9542  2 C 1.52-1.54, 1 B 1.59
B  0.6139  0.0159  0.4145  1 C 1.63, 1 B 1.79
C  0.9062  0.3989  0.0704  2 C 1.51-1.54, 2 B 1.57-1.61
B  0.9232  0.5028  0.5959  1 C 1.65, 1 B 1.70
B  0.1476  0.7293  0.2348  1 C 1.61
B  0.6468  0.5921  0.3088  1 C 1.61, 1 B 1.70



## BC (PBE)

Data for a relaxed BC crystal.

For the theoretical density, the calculation gives 2836 kg/m3. Its crystal system is orthorhombic. The density of states at the Fermi level is 0.09 states/eV per atom. Its size of the total moment is 0.00 μB/f.u. The value obtained for the calculated formation energy is 0.34 eV per atom. The calculation puts the energy above the lowest structure with this stoichiometry at 0.186 eV/atom.

a b c (Å): 2.5326 2.4325 13.0151
angles (deg): 90.00 90.00 90.00
Closest atoms and distances in Å follow each position.
Fractional coordinates of all 12 atoms:
B  0.5000  0.0000  0.2719  2 C 1.62
B  0.5000  0.0000  0.9394  2 C 1.65, 2 B 1.81
B  0.0000  0.0000  0.6337  2 C 1.63, 2 B 1.81
B  0.0000  0.5000  0.7370  4 B 1.81
C  0.5000  0.5000  0.4893  4 C 1.49-1.59
C  0.0000  0.0000  0.3492  2 C 1.49, 2 B 1.62
C  0.0000  0.0000  0.0208  2 C 1.48, 2 B 1.65
C  0.5000  0.0000  0.5554  2 C 1.49, 2 B 1.63
B  0.5000  0.5000  0.1663  2 C 1.65, 2 B 1.84
C  0.0000  0.5000  0.0855  2 C 1.48, 2 B 1.65
B  0.5000  0.5000  0.8360  4 B 1.81
C  0.0000  0.5000  0.4156  4 C 1.49-1.59